[1]
Material: La8CoSi3Br4
Method: DFT, PBE-GGA
State: relaxed

## Properties
Energy (eV/atom): -5.376

a = 8.713 Å, b = 8.713 Å, c = 8.961 Å
α = 119.18°, β = 119.18°, γ = 59.23°
Element x y z (fractional)
La1 0.219 0.759 0.699
La2 0.241 0.781 0.301
La3 0.243 0.243 0.720
La4 0.260 0.260 0.280
La5 0.740 0.740 0.720
La6 0.757 0.757 0.280
La7 0.759 0.219 0.699
La8 0.781 0.241 0.301
Co1 0.000 0.000 0.500
Si1 0.000 0.500 0.500
Si2 0.500 0.000 0.500
Si3 0.500 0.500 0.500
Br1 0.000 0.000 0.000
Br2 0.000 0.500 0.000
Br3 0.500 0.000 0.000
Br4 0.500 0.500 0.000

[2]
Material: La4CoSiBr2
Method: DFT, PBE-GGA
State: relaxed

## Properties
Energy (eV/atom): -5.383

a = 7.465 Å, b = 4.241 Å, c = 7.957 Å
α = 90.00°, β = 106.45°, γ = 90.00°
Element x y z (fractional)
La1 0.229 0.000 0.208
La2 0.237 0.500 0.810
La3 0.763 0.500 0.190
La4 0.771 0.000 0.792
Co1 0.000 0.500 0.000
Si1 0.500 0.000 0.000
Br1 0.000 0.000 0.500
Br2 0.500 0.500 0.500

[3]
Material: La6Co2TcBr3
Method: DFT, PBE-GGA
State: relaxed

## Properties
Energy (eV/atom): -5.683

a = 7.069 Å, b = 7.069 Å, c = 8.313 Å
α = 98.19°, β = 98.19°, γ = 120.01°
Element x y z (fractional)
La1 0.098 0.435 0.805
La2 0.228 0.228 0.195
La3 0.435 0.098 0.805
La4 0.565 0.902 0.195
La5 0.772 0.772 0.805
La6 0.902 0.565 0.195
Co1 0.167 0.833 0.000
Co2 0.833 0.167 0.000
Tc1 0.500 0.500 0.000
Br1 0.000 0.000 0.500
Br2 0.337 0.663 0.500
Br3 0.663 0.337 0.500

[4]
Material: La3CoTeBr
Method: DFT, PBE-GGA
State: relaxed

## Properties
Energy (eV/atom): -5.393

a = 7.532 Å, b = 3.994 Å, c = 12.241 Å
α = 90.00°, β = 97.89°, γ = 90.00°
Element x y z (fractional)
La1 0.214 0.250 0.000
La2 0.256 0.750 0.338
La3 0.260 0.250 0.627
La4 0.740 0.750 0.373
La5 0.744 0.250 0.662
La6 0.786 0.750 0.000
Co1 0.491 0.750 0.552
Co2 0.509 0.250 0.448
Te1 0.048 0.750 0.806
Te2 0.952 0.250 0.194
Br1 0.470 0.750 0.140
Br2 0.530 0.250 0.860

[5]
Material: La6Co2TeBr3
Method: DFT, PBE-GGA
State: relaxed

## Properties
Energy (eV/atom): -5.354

a = 9.777 Å, b = 9.777 Å, c = 9.323 Å
α = 106.81°, β = 106.81°, γ = 25.62°
Element x y z (fractional)
La1 0.033 0.033 0.267
La2 0.314 0.314 0.439
La3 0.324 0.324 0.860
La4 0.676 0.676 0.140
La5 0.686 0.686 0.561
La6 0.967 0.967 0.733
Co1 0.170 0.170 0.339
Co2 0.830 0.830 0.661
Te1 0.500 0.500 0.000
Br1 0.154 0.154 0.837
Br2 0.500 0.500 0.500
Br3 0.846 0.846 0.163

[6]
Material: LaThCoBr
Method: DFT, PBE-GGA
State: relaxed

## Properties
Energy (eV/atom): -6.047

a = 4.053 Å, b = 4.053 Å, c = 23.823 Å
α = 90.00°, β = 90.00°, γ = 120.00°
Element x y z (fractional)
La1 0.000 0.000 0.000
La2 0.333 0.667 0.667
La3 0.667 0.333 0.333
Th1 0.000 0.000 0.789
Th2 0.333 0.667 0.456
Th3 0.667 0.333 0.123
Co1 0.000 0.000 0.402
Co2 0.333 0.667 0.068
Co3 0.667 0.333 0.735
Br1 0.000 0.000 0.228
Br2 0.333 0.667 0.895
Br3 0.667 0.333 0.561

[7]
Material: La2TlCoBr
Method: DFT, PBE-GGA
State: relaxed

## Properties
Energy (eV/atom): -3.804

a = 5.634 Å, b = 5.634 Å, c = 5.561 Å
α = 90.00°, β = 90.00°, γ = 90.00°
Element x y z (fractional)
La1 0.000 0.500 0.000
La2 0.500 0.000 0.000
Tl1 0.000 0.000 0.500
Co1 0.500 0.500 0.500
Br1 0.000 0.000 0.000

[8]
Material: La6TlCo2Br3
Method: DFT, PBE-GGA
State: relaxed

## Properties
Energy (eV/atom): -5.076

a = 10.202 Å, b = 10.202 Å, c = 9.425 Å
α = 107.56°, β = 107.56°, γ = 23.57°
Element x y z (fractional)
La1 0.035 0.035 0.273
La2 0.314 0.314 0.434
La3 0.331 0.331 0.863
La4 0.669 0.669 0.137
La5 0.686 0.686 0.566
La6 0.965 0.965 0.727
Tl1 0.500 0.500 0.000
Co1 0.173 0.173 0.346
Co2 0.827 0.827 0.654
Br1 0.165 0.165 0.841
Br2 0.500 0.500 0.500
Br3 0.835 0.835 0.159